Entry from the Alexandria database: a relaxed V2GaSe4 crystal (GGA-PBE).

Properties
- raw formation energy (eV/f.u.) = -4.3

abc: 7.568 7.568 7.568
angles: 60.00 60.00 60.00
Fractional positions:
V1 0.000 0.000 0.000
V2 0.000 0.000 0.500
V3 0.000 0.500 0.000
V4 0.500 0.000 0.000
Ga1 0.375 0.375 0.375
Ga2 0.625 0.625 0.625
Se1 0.223 0.759 0.759
Se2 0.241 0.241 0.241
Se3 0.241 0.241 0.777
Se4 0.241 0.777 0.241
Se5 0.759 0.223 0.759
Se6 0.759 0.759 0.223
Se7 0.759 0.759 0.759
Se8 0.777 0.241 0.241